[1]
DFT (PBE) results for an optimized crystal structure of K2Be2CdSe4.

Results
- Calculated volume: 24.45 Å³/atom
- ρ: 3.957 g/cm³
- Formation energy (no corrections): -0.87 eV per atom

Cell: 3.8783 7.6744 8.1218 Å, 109.74 103.81 90.00°
Atoms (fractional coordinates):
1 K 0.1249 0.5276 0.2497
2 K 0.8751 0.4724 0.7503
3 Be 0.6785 0.9795 0.3569
4 Be 0.3215 0.0205 0.6431
5 Cd 0.0000 0.0000 0.0000
6 Se 0.2141 0.1635 0.4282
7 Se 0.7859 0.8365 0.5718
8 Se 0.5364 0.7811 0.0729
9 Se 0.4636 0.2189 0.9271

***

[2]
DFT (PBE) results for an optimized crystal structure of KSrBe2Cd.

Results
- Calculated volume: 28.53 Å³/atom
- ρ: 2.993 g/cm³
- Formation energy from the elements: 3.75 eV per formula unit

Cell: 4.9045 5.9304 4.9045 Å, 90.00 90.00 90.00°
Atoms (fractional coordinates):
1 Sr 0.0000 0.5000 0.0000
2 K 0.5000 0.5000 0.5000
3 Be 0.0000 0.0000 0.5000
4 Be 0.5000 0.0000 0.0000
5 Cd 0.0000 0.0000 0.0000

***

[3]
DFT (PBE) results for an optimized crystal structure of LaBeCd.

Results
- Calculated volume: 23.48 Å³/atom
- ρ: 6.138 g/cm³
- Formation energy from the elements: 0.01 eV per formula unit

Cell: 4.6692 4.6692 3.7302 Å, 90.00 90.00 120.00°
Atoms (fractional coordinates):
1 Be 0.0000 0.0000 0.1671
2 Cd 0.6667 0.3333 0.1665
3 La 0.3333 0.6667 0.6664

***

[4]
DFT (PBE) results for an optimized crystal structure of LaBeCd2.

Results
- Calculated volume: 21.17 Å³/atom
- ρ: 7.308 g/cm³
- Formation energy from the elements: 0.34 eV per formula unit

Cell: 3.2051 3.2051 8.2443 Å, 90.00 90.00 90.00°
Atoms (fractional coordinates):
1 Be 0.5000 0.5000 0.7500
2 Cd 0.0000 0.0000 0.9378
3 Cd 0.0000 0.0000 0.5622
4 La 0.5000 0.5000 0.2500

***

[5]
DFT (PBE) results for an optimized crystal structure of La2BeCd2.

Results
- Calculated volume: 25.76 Å³/atom
- ρ: 6.597 g/cm³
- Formation energy from the elements: -0.02 eV per formula unit

Cell: 7.0009 7.0009 5.2553 Å, 90.00 90.00 90.00°
Atoms (fractional coordinates):
1 Be 0.0000 0.0000 0.0000
2 Be 0.5000 0.5000 0.0000
3 Cd 0.3496 0.8496 0.0000
4 Cd 0.8496 0.6504 0.0000
5 Cd 0.6504 0.1504 0.0000
6 Cd 0.1504 0.3496 0.0000
7 La 0.1625 0.6625 0.5000
8 La 0.6625 0.8375 0.5000
9 La 0.8375 0.3375 0.5000
10 La 0.3375 0.1625 0.5000

***

[6]
DFT (PBE) results for an optimized crystal structure of LaBeCd2.

Results
- Calculated volume: 22.36 Å³/atom
- ρ: 6.921 g/cm³
- Formation energy from the elements: -0.04 eV per formula unit

Cell: 5.0195 5.0195 5.0195 Å, 60.00 60.00 60.00°
Atoms (fractional coordinates):
1 Be 0.5000 0.5000 0.5000
2 Cd 0.0000 0.0000 0.0000
3 Cd 0.2500 0.2500 0.2500
4 La 0.7500 0.7500 0.7500

***

[7]
DFT (PBE) results for an optimized crystal structure of LaBeCd.

Results
- Calculated volume: 27.09 Å³/atom
- ρ: 5.319 g/cm³
- Formation energy from the elements: 1.14 eV per formula unit

Cell: 4.8619 4.8619 4.8619 Å, 60.00 60.00 60.00°
Atoms (fractional coordinates):
1 Be 0.5000 0.5000 0.5000
2 Cd 0.7500 0.7500 0.7500
3 La 0.0000 0.0000 0.0000

***

[8]
DFT (PBE) results for an optimized crystal structure of LaBeCd2.

Results
- Calculated volume: 23.67 Å³/atom
- ρ: 6.537 g/cm³
- Formation energy from the elements: -0.02 eV per formula unit

Cell: 4.4928 4.4928 6.0048 Å, 68.07 68.07 59.97°
Atoms (fractional coordinates):
1 Be 0.2994 0.2994 0.1017
2 Cd 0.9751 0.9751 0.0746
3 Cd 0.7178 0.7178 0.8464
4 La 0.5077 0.5077 0.4773

***

[9]
DFT (PBE) results for an optimized crystal structure of LaBeCd2.

Results
- Calculated volume: 23.65 Å³/atom
- ρ: 6.544 g/cm³
- Formation energy from the elements: 0.05 eV per formula unit

Cell: 6.1502 6.1502 6.1502 Å, 42.10 42.10 42.10°
Atoms (fractional coordinates):
1 Be 0.7500 0.7500 0.7500
2 Cd 0.0399 0.0399 0.0399
3 Cd 0.4601 0.4601 0.4601
4 La 0.2500 0.2500 0.2500

***

[10]
DFT (PBE) results for an optimized crystal structure of LaBeCd2.

Results
- Calculated volume: 21.78 Å³/atom
- ρ: 7.105 g/cm³
- Formation energy from the elements: 0.26 eV per formula unit

Cell: 3.2723 3.2723 8.1350 Å, 90.00 90.00 90.00°
Atoms (fractional coordinates):
1 Be 0.5000 0.5000 0.7914
2 Cd 0.0000 0.0000 0.9567
3 Cd 0.5000 0.5000 0.2188
4 La 0.0000 0.0000 0.5332

***

[11]
DFT (PBE) results for an optimized crystal structure of LaBeCd2.

Results
- Calculated volume: 23.43 Å³/atom
- ρ: 6.605 g/cm³
- Formation energy from the elements: 0.39 eV per formula unit

Cell: 4.5536 3.5023 6.0044 Å, 78.12 90.00 90.00°
Atoms (fractional coordinates):
1 Be 0.5000 0.7500 0.7500
2 Cd 0.0000 0.8810 0.9558
3 Cd 0.0000 0.6190 0.5442
4 La 0.5000 0.2500 0.2500

***

[12]
DFT (PBE) results for an optimized crystal structure of LaBeCd2.

Results
- Calculated volume: 23.75 Å³/atom
- ρ: 6.516 g/cm³
- Formation energy from the elements: 1.22 eV per formula unit

Cell: 6.4567 6.4567 3.1472 Å, 78.12 78.12 125.77°
Atoms (fractional coordinates):
1 Be 0.0000 0.5000 0.5000
2 Cd 0.0000 0.0000 0.0000
3 Cd 0.5000 0.5000 0.0000
4 La 0.5000 0.0000 0.5000

***

[13]
DFT (PBE) results for an optimized crystal structure of LaBeCd2.

Results
- Calculated volume: 24.13 Å³/atom
- ρ: 6.412 g/cm³
- Formation energy from the elements: 0.60 eV per formula unit

Cell: 4.3812 4.3813 5.0290 Å, 90.00 90.00 90.00°
Atoms (fractional coordinates):
1 Be 0.0000 0.5000 0.5000
2 Cd 0.0000 0.0000 0.0000
3 Cd 0.5000 0.5000 0.0000
4 La 0.5000 0.0000 0.5000

***

[14]
DFT (PBE) results for an optimized crystal structure of LaBeCd2.

Results
- Calculated volume: 23.03 Å³/atom
- ρ: 6.719 g/cm³
- Formation energy from the elements: 0.24 eV per formula unit

Cell: 4.3447 3.3987 6.4658 Å, 74.77 90.00 90.00°
Atoms (fractional coordinates):
1 Be 0.5000 0.9220 0.7785
2 Cd 0.0000 0.8159 0.9947
3 Cd 0.5000 0.2205 0.1854
4 La 0.0000 0.5416 0.5414

***

[15]
DFT (PBE) results for an optimized crystal structure of LaBeCd.

Results
- Calculated volume: 23.61 Å³/atom
- ρ: 6.102 g/cm³
- Formation energy from the elements: 0.91 eV per formula unit

Cell: 5.3637 5.3637 5.3637 Å, 143.83 128.01 64.97°
Atoms (fractional coordinates):
1 Be 0.0083 0.0083 0.0000
2 Cd 0.3284 0.3284 0.0000
3 La 0.6633 0.6633 0.0000

***

[16]
DFT (PBE) results for an optimized crystal structure of LaBeCd.

Results
- Calculated volume: 21.63 Å³/atom
- ρ: 6.663 g/cm³
- Formation energy from the elements: 0.36 eV per formula unit

Cell: 6.4962 6.4964 3.2690 Å, 75.42 75.43 29.15°
Atoms (fractional coordinates):
1 Be 0.9812 0.9812 0.0188
2 Cd 0.3673 0.3673 0.6327
3 La 0.6516 0.6516 0.3484

***

[17]
DFT (PBE) results for an optimized crystal structure of La4BeCd.

Results
- Calculated volume: 31.68 Å³/atom
- ρ: 5.915 g/cm³
- Formation energy from the elements: 3.42 eV per formula unit

Cell: 6.4536 6.4536 6.4536 Å, 60.00 60.00 60.00°
Atoms (fractional coordinates):
1 La 0.8735 0.3755 0.3755
2 La 0.3755 0.3755 0.8735
3 La 0.3755 0.8735 0.3755
4 La 0.3755 0.3755 0.3755
5 Be 0.7500 0.7500 0.7500
6 Cd 0.0000 0.0000 0.0000

***

[18]
DFT (PBE) results for an optimized crystal structure of LaBeCd2.

Results
- Calculated volume: 26.83 Å³/atom
- ρ: 5.768 g/cm³
- Formation energy from the elements: 0.91 eV per formula unit

Cell: 4.9999 4.9999 9.2850 Å, 74.38 74.38 90.00°
Atoms (fractional coordinates):
1 Be 0.5000 0.5000 0.0000
2 Be 0.2500 0.7500 0.5000
3 Cd 0.4682 0.1250 0.2500
4 Cd 0.2818 0.6250 0.2500
5 Cd 0.3750 0.5318 0.7500
6 Cd 0.8750 0.7182 0.7500
7 La 0.0000 0.0000 0.0000
8 La 0.7500 0.2500 0.5000

***

[19]
DFT (PBE) results for an optimized crystal structure of La2BeCdNi.

Results
- Calculated volume: 25.16 Å³/atom
- ρ: 6.044 g/cm³
- Formation energy from the elements: -0.59 eV per formula unit

Cell: 5.4320 5.4320 4.2636 Å, 90.00 90.00 90.00°
Atoms (fractional coordinates):
1 Ni 0.0000 0.0000 0.0000
2 Cd 0.5000 0.5000 0.5000
3 Be 0.0000 0.0000 0.5000
4 La 0.0000 0.5000 0.0000
5 La 0.5000 0.0000 0.0000

***

[20]
DFT (PBE) results for an optimized crystal structure of LaBeCdOs2.

Results
- Calculated volume: 21.32 Å³/atom
- ρ: 9.982 g/cm³
- Formation energy from the elements: 6.69 eV per formula unit

Cell: 5.0111 4.2449 5.0111 Å, 90.00 90.00 90.00°
Last column: magnetic moment on the atom in μB.
Atoms (fractional coordinates):
1 Be 0.0000 0.5000 0.0000  -0.01
2 Cd 0.0000 0.0000 0.0000  0.00
3 Os 0.0000 0.0000 0.5000  0.09
4 Os 0.5000 0.0000 0.0000  0.09
5 La 0.5000 0.5000 0.5000  -0.01